A plane-wave DFT calculation with PBE-GGA was carried out for an optimized crystal structure of SmCuNi.

a = 6.185 Å, b = 6.185 Å, c = 6.185 Å
α = 90.00°, β = 90.00°, γ = 90.00°
Space group F-43m (No. 216)
One atom of each set of equivalent atoms:
Sm (0.000, 0.000, 0.000) x4
Cu (0.000, 0.000, 0.500) x4
Ni (0.250, 0.250, 0.750) x4

**ΔE_f**: -77 meV per atom
**Excess energy over the best structure of this formula in the dataset**: 0.0 meV/atom
**Total magnetization**: 0.008 μB/cell